Version w
# CrIn2H GGA-PBE optimized geometry
data_CrIn2H
_chemical_formula_sum 'Cr4 In8 H4'
_cell_length_a 6.6577
_cell_length_b 6.6577
_cell_length_c 5.6122
_cell_angle_alpha 90.00
_cell_angle_beta 90.00
_cell_angle_gamma 90.00
_symmetry_space_group_name_H-M 'I -4 2 d'
_symmetry_Int_Tables_number 122
_symmetry_space_group_name_Hall 'I -4 2bw'
loop_
_atom_site_label
_atom_site_fract_x
_atom_site_fract_y
_atom_site_fract_z
_atom_site_occupancy
Cr1 0.0000 0.0000 0.0000 1
In1 0.1806 0.2500 0.6250 1
H1 0.0000 0.0000 0.5000 1
# N(E_F) in states/eV/atom: 1.2192
# Volume in Å³ per atom: 15.55
# Total magnetization in Bohr magnetons per cell: 0.0

***

Version x
# CrIn2H GGA-PBE optimized geometry
data_CrIn2H
_chemical_formula_sum 'Cr4 In8 H4'
_cell_length_a 6.6143
_cell_length_b 6.6143
_cell_length_c 6.6143
_cell_angle_alpha 90.00
_cell_angle_beta 90.00
_cell_angle_gamma 90.00
_symmetry_space_group_name_H-M 'F m -3 m'
_symmetry_Int_Tables_number 225
_symmetry_space_group_name_Hall '-F 4 2 3'
loop_
_atom_site_label
_atom_site_fract_x
_atom_site_fract_y
_atom_site_fract_z
_atom_site_occupancy
Cr1 0.0000 0.0000 0.0000 1
In1 0.2500 0.2500 0.2500 1
H1 0.0000 0.0000 0.5000 1
# N(E_F) in states/eV/atom: 0.5146
# Volume in Å³ per atom: 18.09
# Total magnetization in Bohr magnetons per cell: 16.5

***

Stability check: which of them is most stable? version x.

***

Version w
# Cr2InH GGA-PBE optimized geometry
data_Cr2InH
_chemical_formula_sum 'Cr8 In4 H4'
_cell_length_a 5.1931
_cell_length_b 5.1931
_cell_length_c 7.4080
_cell_angle_alpha 90.00
_cell_angle_beta 90.00
_cell_angle_gamma 90.00
_symmetry_space_group_name_H-M 'I 41/a m d'
_symmetry_Int_Tables_number 141
loop_
_symmetry_equiv_pos_as_xyz
'x,y,z'
'-x,-y,-z'
'-y+1/4,x+3/4,z+1/4'
'y+1/4,-x+3/4,-z+1/4'
'-x+1/2,-y,z+1/2'
'x+1/2,y,-z+1/2'
'y+1/4,-x+1/4,z+3/4'
'-y+1/4,x+1/4,-z+3/4'
'x,-y,-z'
'-x,y,z'
'-y+1/4,-x+1/4,-z+3/4'
'y+1/4,x+1/4,z+3/4'
'-x+1/2,y,-z+1/2'
'x+1/2,-y,z+1/2'
'y+1/4,x+3/4,-z+1/4'
'-y+1/4,-x+3/4,z+1/4'
'x+1/2,y+1/2,z+1/2'
'-x+1/2,-y+1/2,-z+1/2'
'-y+3/4,x+1/4,z+3/4'
'y+3/4,-x+1/4,-z+3/4'
'-x,-y+1/2,z'
'x,y+1/2,-z'
'y+3/4,-x+3/4,z+1/4'
'-y+3/4,x+3/4,-z+1/4'
'x+1/2,-y+1/2,-z+1/2'
'-x+1/2,y+1/2,z+1/2'
'-y+3/4,-x+3/4,-z+1/4'
'y+3/4,x+3/4,z+1/4'
'-x,y+1/2,-z'
'x,-y+1/2,z'
'y+3/4,x+1/4,-z+3/4'
'-y+3/4,-x+1/4,z+3/4'
loop_
_atom_site_label
_atom_site_fract_x
_atom_site_fract_y
_atom_site_fract_z
_atom_site_occupancy
Cr1 0.0000 0.0000 0.0000 1
In1 0.0000 0.2500 0.3750 1
H1 0.0000 0.2500 0.8750 1
# N(E_F) in states/eV/atom: 1.0202
# Volume in Å³ per atom: 12.49
# Total magnetization in Bohr magnetons per cell: 0.0

***

Version x
# Cr2InH GGA-PBE optimized geometry
data_Cr2InH
_chemical_formula_sum 'Cr8 In4 H4'
_cell_length_a 6.2923
_cell_length_b 6.2923
_cell_length_c 6.2923
_cell_angle_alpha 90.00
_cell_angle_beta 90.00
_cell_angle_gamma 90.00
_symmetry_space_group_name_H-M 'F m -3 m'
_symmetry_Int_Tables_number 225
_symmetry_space_group_name_Hall '-F 4 2 3'
loop_
_atom_site_label
_atom_site_fract_x
_atom_site_fract_y
_atom_site_fract_z
_atom_site_occupancy
Cr1 0.2500 0.2500 0.2500 1
In1 0.0000 0.0000 0.0000 1
H1 0.0000 0.0000 0.5000 1
# N(E_F) in states/eV/atom: 0.9548
# Volume in Å³ per atom: 15.57
# Total magnetization in Bohr magnetons per cell: 27.7

***

Stability check: which of them is most stable? version w.

***

Version w
# CrInNi2H GGA-PBE optimized geometry
data_CrInNi2H
_chemical_formula_sum 'Cr1 In1 Ni2 H1'
_cell_length_a 3.9062
_cell_length_b 3.9062
_cell_length_c 3.8151
_cell_angle_alpha 90.00
_cell_angle_beta 90.00
_cell_angle_gamma 90.00
_symmetry_space_group_name_H-M 'P 4/m m m'
_symmetry_Int_Tables_number 123
_symmetry_space_group_name_Hall '-P 4 2'
loop_
_atom_site_label
_atom_site_fract_x
_atom_site_fract_y
_atom_site_fract_z
_atom_site_occupancy
Cr1 0.0000 0.0000 0.0000 1
In1 0.5000 0.5000 0.0000 1
Ni1 0.0000 0.5000 0.5000 1
H1 0.0000 0.0000 0.5000 1
# N(E_F) in states/eV/atom: 0.4312
# Volume in Å³ per atom: 11.64
# Total magnetization in Bohr magnetons per cell: 4.1

***

Version x
# CrInNi2H GGA-PBE optimized geometry
data_CrInNi2H
_chemical_formula_sum 'Cr1 In1 Ni2 H1'
_cell_length_a 3.7909
_cell_length_b 3.7909
_cell_length_c 4.1287
_cell_angle_alpha 90.00
_cell_angle_beta 90.00
_cell_angle_gamma 90.00
_symmetry_space_group_name_H-M 'P 4/m m m'
_symmetry_Int_Tables_number 123
_symmetry_space_group_name_Hall '-P 4 2'
loop_
_atom_site_label
_atom_site_fract_x
_atom_site_fract_y
_atom_site_fract_z
_atom_site_occupancy
Cr1 0.0000 0.0000 0.0000 1
In1 0.5000 0.5000 0.0000 1
Ni1 0.0000 0.5000 0.5000 1
H1 0.5000 0.5000 0.5000 1
# N(E_F) in states/eV/atom: 0.6263
# Volume in Å³ per atom: 11.87
# Total magnetization in Bohr magnetons per cell: 4.0

***

Stability check: which of them is most stable? version w.